No. 1
Cs2GaReBr6 | GGA-PBE | optimized geometry

Cell and atoms, written as POSCAR:
```
Cs2GaReBr6
1.0
-1.5325 6.5776 -4.1006
-7.3498 0.0943 2.8981
-2.7008 6.4303 3.7118
Cs Re Ga Br
2 1 1 6
direct
0.7500 0.2500 0.5000
0.2500 0.7500 0.5000
0.0000 0.0000 0.0000
0.5000 0.5000 0.0000
0.2302 0.2302 0.5396
0.7698 0.7698 0.4604
0.2301 0.2301 0.0000
0.7699 0.7699 0.0000
0.7699 0.2301 0.0000
0.2301 0.7699 0.0000
```

Properties
energy relative to the elements, uncorrected = -852 meV per atom
total magnetic moment = 2.000 μB/f.u.
DOS at the Fermi energy = 6.0 states/eV/cell
space group = Fm-3m



No. 2
TbMgSc2Cu4 | GGA-PBE | optimized geometry

Cell and atoms, written as POSCAR:
```
TbMgSc2Cu4
1.0
-3.9092 -0.3513 -2.4401
-3.6872 -2.0988 1.8326
-4.9510 5.9641 2.6964
Tb Mg Sc Cu
1 1 2 4
direct
0.0000 0.0000 0.0000
0.5000 0.5000 0.5000
0.7557 0.7557 0.7329
0.2443 0.2443 0.2671
0.3842 0.3842 0.8473
0.8756 0.8756 0.3733
0.1244 0.1244 0.6267
0.6158 0.6158 0.1527
```

Properties
total DFT energy (no corrections) = -4.615 eV per atom
total magnetic moment = 0.000 μB/f.u.
DOS at the Fermi energy = 6.6 states/eV/cell
space group = R-3m



No. 3
Gd2PuAg | GGA-PBE | optimized geometry

Cell and atoms, written as POSCAR:
```
Gd2PuAg
1.0
-2.8264 2.0600 0.7899
-1.1899 -0.3423 -3.3649
-4.4846 -7.0356 2.3016
Gd Ag Pu
2 1 1
direct
0.0000 0.0000 0.7811
0.0000 0.0000 0.2189
0.5000 0.5000 0.0000
0.5000 0.5000 0.5000
```

Properties
relative energy among the computed polymorphs = 0.0 meV/atom
total magnetic moment = 21.409 μB/f.u.
DOS at the Fermi energy = 8.6 states/eV/cell
space group = P4/mmm



No. 4
CaLaSi2 | GGA-PBE | optimized geometry

Cell and atoms, written as POSCAR:
```
CaLaSi2
1.0
8.0435 0.0000 0.0000
0.0000 8.0435 0.0000
4.0218 4.0218 3.2557
Ca Si La
2 4 2
direct
0.5000 0.5000 0.0000
0.2500 0.7500 0.5000
0.6165 0.1250 0.2500
0.1335 0.6250 0.2500
0.3750 0.3835 0.7500
0.8750 0.8665 0.7500
0.0000 0.0000 0.0000
0.7500 0.2500 0.5000
```

Properties
energy relative to the elements, uncorrected = -67 meV per atom
total magnetic moment = 0.000 μB/f.u.
DOS at the Fermi energy = 6.9 states/eV/cell
space group = I-42d



No. 5
Li4Er3Ge4 | GGA-PBE | optimized geometry

Cell and atoms, written as POSCAR:
```
Li4Er3Ge4
1.0
-2.5064 -0.7836 3.3870
4.8838 -3.6431 2.7712
1.3250 8.0200 0.1245
Li Er Ge
4 3 4
direct
0.3274 0.1370 0.6548
0.6726 0.4823 0.3452
0.6726 0.8630 0.3452
0.3274 0.5177 0.6548
0.1277 0.1277 0.2553
0.8723 0.8723 0.7447
0.0000 0.5000 0.0000
0.2147 0.7147 0.4293
0.7853 0.2853 0.5707
0.5000 0.8084 0.0000
0.5000 0.1916 0.0000
```

Properties
total DFT energy (no corrections) = -4.269 eV per atom
total magnetic moment = 0.000 μB/f.u.
DOS at the Fermi energy = 2.5 states/eV/cell
space group = Immm



No. 6
KScTa | GGA-PBE | optimized geometry

Cell and atoms, written as POSCAR:
```
KScTa
1.0
-6.6348 -6.2785 -0.6946
-4.6999 -7.3393 -2.8225
1.0505 -2.0791 1.9926
K Sc Ta
1 1 1
direct
0.0076 0.0076 0.9924
0.3019 0.3019 0.6981
0.6906 0.6906 0.3094
```

Properties
relative energy among the computed polymorphs = 0.0 meV/atom
total magnetic moment = 0.000 μB/f.u.
DOS at the Fermi energy = 0.7 states/eV/cell
space group = I4mm



No. 7
TmFeSi2Ru | GGA-PBE | optimized geometry

Cell and atoms, written as POSCAR:
```
TmFeSi2Ru
1.0
-0.3616 -3.4306 -2.1101
0.1456 -2.1284 3.4353
-4.6432 3.0524 -0.2921
Tm Fe Si Ru
1 1 2 1
direct
0.0000 0.0000 0.0000
0.7500 0.2500 0.5000
0.6295 0.6295 0.2589
0.3705 0.3705 0.7411
0.2500 0.7500 0.5000
```

Properties
energy relative to the elements, uncorrected = -769 meV per atom
total magnetic moment = 0.000 μB/f.u.
DOS at the Fermi energy = 3.9 states/eV/cell
space group = I-4m2



No. 8
Ac2La4O | GGA-PBE | optimized geometry

Cell and atoms, written as POSCAR:
```
Ac2La4O
1.0
5.1499 0.0000 0.0000
0.0000 5.1499 0.0000
-2.5749 -2.5749 9.2619
Ac O La
2 1 4
direct
0.6693 0.6693 0.3387
0.3307 0.3307 0.6613
0.0000 0.0000 0.0000
0.8673 0.8673 0.7346
0.1327 0.1327 0.2654
0.0000 0.5000 0.0000
0.5000 0.0000 0.0000
```

Properties
energy relative to the elements, uncorrected = -676 meV per atom
total magnetic moment = 0.000 μB/f.u.
DOS at the Fermi energy = 9.7 states/eV/cell
space group = I4/mmm



No. 9
GaAsCl2 | GGA-PBE | optimized geometry

Cell and atoms, written as POSCAR:
```
GaAsCl2
1.0
0.0000 3.5550 3.5550
3.5550 0.0000 3.5550
3.5550 3.5550 0.0000
As Ga Cl
1 1 2
direct
0.5000 0.5000 0.5000
0.0000 0.0000 0.0000
0.2500 0.2500 0.2500
0.7500 0.7500 0.7500
```

Properties
relative energy among the computed polymorphs = 181.6 meV/atom
energy relative to the elements, uncorrected = 160 meV per atom
total magnetic moment = 1.504 μB/f.u.
DOS at the Fermi energy = 4.8 states/eV/cell
space group = Fm-3m



No. 10
Sm2SnCl | GGA-PBE | optimized geometry

Cell and atoms, written as POSCAR:
```
Sm2SnCl
1.0
3.5425 0.0000 0.0000
1.7712 3.0679 0.0000
1.7712 1.0226 10.6687
Sn Sm Cl
1 2 1
direct
0.0000 0.0000 0.0000
0.0973 0.0973 0.7081
0.9027 0.9027 0.2919
0.5000 0.5000 0.5000
```

Properties
energy relative to the elements, uncorrected = -626 meV per atom
total magnetic moment = 0.000 μB/f.u.
DOS at the Fermi energy = 2.0 states/eV/cell
space group = R-3m



No. 11
ZrCu2Te | GGA-PBE | optimized geometry

Cell and atoms, written as POSCAR:
```
ZrCu2Te
1.0
5.2650 0.0011 0.0000
2.1510 4.8055 0.0000
-3.7080 -2.4033 2.8627
Cu Te Zr
2 1 1
direct
0.0000 0.0000 0.0000
0.5000 0.5000 0.0000
0.2500 0.7500 0.5000
0.7500 0.2500 0.5000
```

Properties
energy relative to the elements, uncorrected = 18 meV per atom
total magnetic moment = 0.000 μB/f.u.
DOS at the Fermi energy = 2.9 states/eV/cell
space group = I4/mmm



No. 12
PmSm2In | GGA-PBE | optimized geometry

Cell and atoms, written as POSCAR:
```
PmSm2In
1.0
4.9330 0.0000 0.0000
0.0000 4.9491 0.0000
0.0000 0.0000 4.9491
In Sm Pm
1 2 1
direct
0.5000 0.0000 0.0000
0.0000 0.0000 0.5000
0.0000 0.5000 0.0000
0.5000 0.5000 0.5000
```

Properties
relative energy among the computed polymorphs = 0.0 meV/atom
total magnetic moment = 0.593 μB/f.u.
DOS at the Fermi energy = 6.6 states/eV/cell
space group = P4/mmm



No. 13
Ag12HgPd7 | GGA-PBE | optimized geometry

Cell and atoms, written as POSCAR:
```
Ag12HgPd7
1.0
7.5349 -0.0608 -0.0913
-2.1536 7.2209 -0.0913
-2.1536 -2.8655 6.6286
Ag Hg Pd
12 1 7
direct
0.7738 0.3363 0.6307
0.6637 0.3693 0.2262
0.4085 0.0402 0.3006
0.9598 0.6994 0.5915
0.3693 0.2262 0.6637
0.6994 0.5915 0.9598
0.3006 0.4085 0.0402
0.6307 0.7738 0.3363
0.0402 0.3006 0.4085
0.5915 0.9598 0.6994
0.3363 0.6307 0.7738
0.2262 0.6637 0.3693
0.0000 0.0000 0.0000
0.1016 0.6742 0.9841
0.3258 0.0159 0.8984
0.0159 0.8984 0.3258
0.5000 0.5000 0.5000
0.9841 0.1016 0.6742
0.6742 0.9841 0.1016
0.8984 0.3258 0.0159
```

Properties
total DFT energy (no corrections) = -3.513 eV per atom
total magnetic moment = 0.000 μB/f.u.
DOS at the Fermi energy = 7.8 states/eV/cell
space group = R-3



No. 14
ReP | GGA-PBE | optimized geometry

Cell and atoms, written as POSCAR:
```
ReP
1.0
-1.1648 -3.7972 -6.1010
7.0932 -1.5982 -0.3595
-1.1519 -6.0020 3.9555
Re P
8 8
direct
0.3648 0.3648 0.3648
0.3648 0.6352 0.6352
0.6352 0.3648 0.6352
0.6352 0.6352 0.3648
0.8648 0.8648 0.8648
0.8648 0.1352 0.1352
0.1352 0.8648 0.1352
0.1352 0.1352 0.8648
0.1794 0.1794 0.1794
0.1794 0.8206 0.8206
0.8206 0.1794 0.8206
0.8206 0.8206 0.1794
0.6794 0.6794 0.6794
0.6794 0.3206 0.3206
0.3206 0.6794 0.3206
0.3206 0.3206 0.6794
```

Properties
relative energy among the computed polymorphs = 514.7 meV/atom
total magnetic moment = 0.000 μB/f.u.
DOS at the Fermi energy = 13.0 states/eV/cell
space group = I-43m



No. 15
AgSnIO2 | GGA-PBE | optimized geometry

Cell and atoms, written as POSCAR:
```
AgSnIO2
1.0
-0.9040 3.6984 -1.3729
0.1445 -1.3765 -3.8032
-6.3746 -1.4528 0.2836
I O Sn Ag
1 2 1 1
direct
0.0000 0.0000 0.5000
0.0000 0.5000 0.0000
0.5000 0.0000 0.0000
0.0000 0.0000 0.0000
0.5000 0.5000 0.5000
```

Properties
relative energy among the computed polymorphs = 0.0 meV/atom
energy relative to the elements, uncorrected = -504 meV per atom
total magnetic moment = 0.000 μB/f.u.
DOS at the Fermi energy = 0.8 states/eV/cell
space group = P4/mmm



No. 16
LaPr8Er3 | GGA-PBE | optimized geometry

Cell and atoms, written as POSCAR:
```
LaPr8Er3
1.0
4.8213 1.7304 -2.6230
4.1905 8.2296 0.4751
-0.3331 4.7870 15.1385
La Pr Er
1 8 3
direct
0.0185 0.7880 0.5589
0.6412 0.5122 0.9052
0.5036 0.9949 0.7506
0.1286 0.0225 0.9030
0.5408 0.2704 0.5638
0.4737 0.7119 0.4380
0.8662 0.9756 0.0945
0.3721 0.4757 0.1008
0.5025 0.9954 0.2504
0.9944 0.5021 0.7486
0.9624 0.2197 0.4347
0.9943 0.5011 0.2481
```

Properties
total DFT energy (no corrections) = -4.696 eV per atom
total magnetic moment = 0.000 μB/f.u.
DOS at the Fermi energy = 16.8 states/eV/cell
space group = P1



No. 17
PPb2I | GGA-PBE | optimized geometry

Cell and atoms, written as POSCAR:
```
PPb2I
1.0
0.0000 3.8737 3.8737
3.8737 0.0000 3.8737
3.8737 3.8737 0.0000
Pb I P
2 1 1
direct
0.2500 0.2500 0.2500
0.7500 0.7500 0.7500
0.5000 0.5000 0.5000
0.0000 0.0000 0.0000
```

Properties
relative energy among the computed polymorphs = 409.7 meV/atom
energy relative to the elements, uncorrected = 171 meV per atom
total magnetic moment = 0.000 μB/f.u.
DOS at the Fermi energy = 1.4 states/eV/cell
space group = Fm-3m



No. 18
Tb4PuPb5 | GGA-PBE | optimized geometry

Cell and atoms, written as POSCAR:
```
Tb4PuPb5
1.0
-1.1065 0.2817 -3.3328
-3.2929 -0.7069 1.0335
-3.7813 22.1928 3.1313
Tb Pu Pb
4 1 5
direct
0.0000 0.0000 0.2004
0.0000 0.0000 0.4001
0.0000 0.0000 0.5999
0.0000 0.0000 0.7996
0.0000 0.0000 0.0000
0.5000 0.5000 0.1018
0.5000 0.5000 0.3006
0.5000 0.5000 0.5000
0.5000 0.5000 0.6994
0.5000 0.5000 0.8982
```

Properties
total DFT energy (no corrections) = -5.536 eV per atom
total magnetic moment = 5.994 μB/f.u.
DOS at the Fermi energy = 14.9 states/eV/cell
space group = P4/mmm



No. 19
CeY2Er12 | GGA-PBE | optimized geometry

Cell and atoms, written as POSCAR:
```
CeY2Er12
1.0
6.3856 0.0000 0.0000
0.0000 6.3856 0.0000
0.0000 0.0000 24.6026
Ce Y Er
2 4 24
direct
0.5000 0.0000 0.0000
0.0000 0.5000 0.0000
0.5000 0.0000 0.2734
0.0000 0.5000 0.2734
0.0000 0.5000 0.7266
0.5000 0.0000 0.7266
0.5000 0.5000 0.7855
0.0000 0.0000 0.7855
0.7503 0.7497 0.8870
0.2503 0.7503 0.8870
0.0000 0.0000 0.3399
0.2497 0.7497 0.1130
0.8313 0.3313 0.5609
0.5000 0.5000 0.3399
0.2497 0.2503 0.8870
0.7497 0.7503 0.1130
0.3313 0.1687 0.5609
0.6687 0.1687 0.4391
0.0000 0.0000 0.6601
0.1687 0.3313 0.4391
0.2503 0.2497 0.1130
0.8313 0.6687 0.4391
0.6687 0.8313 0.5609
0.0000 0.0000 0.2145
0.1687 0.6687 0.5609
0.5000 0.5000 0.6601
0.7497 0.2497 0.8870
0.5000 0.5000 0.2145
0.3313 0.8313 0.4391
0.7503 0.2503 0.1130
```

Properties
total DFT energy (no corrections) = -4.511 eV per atom
total magnetic moment = 2.056 μB/f.u.
DOS at the Fermi energy = 62.5 states/eV/cell
space group = P4/nbm



No. 20
Hf3NbSn | GGA-PBE | optimized geometry

Cell and atoms, written as POSCAR:
```
Hf3NbSn
1.0
-3.1032 -2.4214 3.3402
3.9995 -2.7912 1.6923
1.0122 3.6051 3.5537
Nb Hf Sn
1 3 1
direct
0.5000 0.5000 0.5000
0.0000 0.5000 0.0000
0.0000 0.0000 0.5000
0.5000 0.0000 0.0000
0.0000 0.0000 0.0000
```

Properties
relative energy among the computed polymorphs = 1460.5 meV/atom
total magnetic moment = 0.810 μB/f.u.
DOS at the Fermi energy = 6.5 states/eV/cell
space group = Pm-3m